DFT (SCAN) results for a crystal of AlZn3 relaxed with PBEsol.

Lattice parameters (Å, degrees): 2.717 4.755 4.855 100.56 90.00 106.60
Fractional positions:
1 Zn 0.752 0.504 0.253
2 Zn 0.500 0.000 0.500
3 Zn 0.248 0.496 0.747
4 Al 0.000 0.000 0.000

calculated volume = 59 Å³/cell
M_tot = 0.00 μB/atom
ΔE_f = 0.32 kcal/mol of atoms
SG = C2/m
Fermi-level density of states = 0.2926 states/eV/atom